Below is a relaxed structure of MnIO3, with properties calculated at the GGA+U level.

Results
**Electronic total energy**: -4.830 eV per atom

Structure (CIF):
```
data_MnIO3
_space_group_name_H-M_alt 'P m -3 m'
_space_group_IT_number 221
_space_group_name_Hall '-P 4 2 3'
_cell_length_a 4.1878
_cell_length_b 4.1878
_cell_length_c 4.1878
_cell_angle_alpha 90.00
_cell_angle_beta 90.00
_cell_angle_gamma 90.00
loop_
_atom_site_label
_atom_site_fract_x
_atom_site_fract_y
_atom_site_fract_z
Mn1 0.0000 0.0000 0.0000
I1 0.5000 0.5000 0.5000
O1 0.0000 0.5000 0.5000
```